(1)
# Li2HgMo

A relaxed structure of Li2HgMo (PBE, Alexandria).

Computed properties:
ΔH_f (0 K) = 1.668 eV per formula unit
DOS at the Fermi energy = 2.39 states/eV/f.u.
Size of the total moment = 1.56 μB per formula unit

Unit cell a=4.0284 b=4.0284 c=4.0819 alpha=90.00 beta=90.00 gamma=90.00
Last column: nearest neighbours and their distance in Å.
Space group P4/mmm (No. 123)
Symmetry-distinct sites (fractional):
Li  0.0000  0.5000  0.0000 [2 per cell]  4 Li 2.85, 4 Hg 2.87, 4 Mo 2.87
Hg  0.0000  0.0000  0.5000 [1 per cell]  4 Mo 2.85, 8 Li 2.87
Mo  0.5000  0.5000  0.5000 [1 per cell]  4 Hg 2.85, 8 Li 2.87


(2)
# LiHgMo

A relaxed structure of LiHgMo (PBE, Alexandria).

Computed properties:
ΔH_f (0 K) = 3.438 eV per formula unit
DOS at the Fermi energy = 2.92 states/eV/f.u.
Size of the total moment = 3.30 μB per formula unit
ΔE to the lowest computed polymorph = 764.7 meV/atom

Unit cell a=6.4877 b=6.4877 c=6.4877 alpha=90.00 beta=90.00 gamma=90.00
Last column: nearest neighbours and their distance in Å.
Space group F-43m (No. 216)
Symmetry-distinct sites (fractional):
Li  0.0000  0.0000  0.0000 [4 per cell]  4 Mo 2.81
Hg  0.0000  0.0000  0.5000 [4 per cell]  4 Mo 2.81
Mo  0.2500  0.2500  0.2500 [4 per cell]  4 Li 2.81, 4 Hg 2.81


(3)
# Li2HgMo

A relaxed structure of Li2HgMo (PBE, Alexandria).

Computed properties:
ΔH_f (0 K) = 1.352 eV per formula unit
DOS at the Fermi energy = 2.36 states/eV/f.u.
Size of the total moment = 0.80 μB per formula unit

Unit cell a=2.6627 b=4.5418 c=5.6971 alpha=90.00 beta=103.41 gamma=90.00
Last column: nearest neighbours and their distance in Å.
Space group Pm (No. 6)
Symmetry-distinct sites (fractional):
Li  0.0000  0.0000  0.0000 [1 per cell]  4 Li 2.61-2.66, 1 Mo 2.83
Li  0.0981  0.5000  0.2305 [1 per cell]  4 Li 2.61-2.66, 1 Hg 2.82
Hg  0.3607  0.5000  0.7401 [1 per cell]  2 Hg 2.66, 1 Li 2.82, 4 Mo 2.98
Mo  0.7331  0.0000  0.4886 [1 per cell]  2 Mo 2.66, 1 Li 2.83, 4 Hg 2.98


(4)
# Li2HgMo

A relaxed structure of Li2HgMo (PBE, Alexandria).

Computed properties:
ΔH_f (0 K) = 1.792 eV per formula unit
DOS at the Fermi energy = 1.37 states/eV/f.u.
Size of the total moment = 2.31 μB per formula unit

Unit cell a=4.0942 b=4.0942 c=7.9623 alpha=90.00 beta=90.00 gamma=90.00
Last column: nearest neighbours and their distance in Å.
Space group I4/mmm (No. 139)
Symmetry-distinct sites (fractional):
Li  0.0000  0.5000  0.2500 [4 per cell]  4 Hg 2.86, 4 Mo 2.86, 4 Li 2.90
Hg  0.0000  0.0000  0.0000 [2 per cell]  8 Li 2.86, 4 Mo 2.90
Mo  0.0000  0.0000  0.5000 [2 per cell]  8 Li 2.86, 4 Hg 2.90